Er2LuAu: optimized geometry, PBE.

Unit cell a=3.5316 b=3.5316 c=8.5870 alpha=90.00 beta=90.00 gamma=90.00
Fractional positions:
Er1 0.0000 0.0000 0.2098
Er2 0.0000 0.0000 0.7902
Lu1 0.5000 0.5000 0.5000
Au1 0.5000 0.5000 0.0000

Summary:
density: 11.0 g cm⁻³
energy relative to the lowest polymorph listed for this composition: 0 meV/atom
energy of formation from the pure elements: -0.40 eV/atom

CdGa8Ag6: optimized geometry, PBE.

Unit cell a=7.0588 b=7.0588 c=7.0588 alpha=66.29 beta=66.29 gamma=66.29
Fractional positions:
Cd1 0.0000 0.0000 0.0000
Ga1 0.1467 0.4597 0.8127
Ga2 0.1873 0.8533 0.5403
Ga3 0.2278 0.2278 0.2278
Ga4 0.4597 0.8127 0.1467
Ga5 0.5403 0.1873 0.8533
Ga6 0.7722 0.7722 0.7722
Ga7 0.8127 0.1467 0.4597
Ga8 0.8533 0.5403 0.1873
Ag1 0.1578 0.6020 0.3210
Ag2 0.3210 0.1578 0.6020
Ag3 0.3980 0.6790 0.8422
Ag4 0.6020 0.3210 0.1578
Ag5 0.6790 0.8422 0.3980
Ag6 0.8422 0.3980 0.6790

Summary:
density: 7.7 g cm⁻³
energy relative to the lowest polymorph listed for this composition: 0 meV/atom
energy of formation from the pure elements: 0.01 eV/atom

CoBPt: optimized geometry, PBE.

Unit cell a=3.6349 b=3.6349 c=3.6349 alpha=60.00 beta=60.00 gamma=60.00
Fractional positions:
Co1 0.0000 0.0000 0.0000
B1 0.2500 0.2500 0.2500
Pt1 0.5000 0.5000 0.5000

Summary:
density: 12.9 g cm⁻³
energy of formation from the pure elements: -0.14 eV/atom

CrNiB3: optimized geometry, PBE.

Unit cell a=3.6580 b=3.6580 c=3.6580 alpha=90.00 beta=90.00 gamma=90.00
Fractional positions:
Cr1 0.0000 0.0000 0.0000
Ni1 0.5000 0.5000 0.5000
B1 0.0000 0.5000 0.5000
B2 0.5000 0.0000 0.5000
B3 0.5000 0.5000 0.0000

Summary:
density: 4.9 g cm⁻³
energy of formation from the pure elements: 1.18 eV/atom

Tb6Tl3Hg: optimized geometry, PBE.

Unit cell a=11.6772 b=3.7787 c=14.5373 alpha=90.00 beta=110.86 gamma=90.00
Fractional positions:
Tb1 0.0116 0.2500 0.1614
Tb2 0.0912 0.7500 0.3960
Tb3 0.2334 0.2500 0.8308
Tb4 0.3344 0.2500 0.2558
Tb5 0.3604 0.2500 0.6125
Tb6 0.3998 0.7500 0.0485
Tb7 0.6002 0.2500 0.9515
Tb8 0.6396 0.7500 0.3875
Tb9 0.6656 0.7500 0.7442
Tb10 0.7666 0.7500 0.1692
Tb11 0.9088 0.2500 0.6040
Tb12 0.9884 0.7500 0.8386
Tl1 0.1377 0.7500 0.6305
Tl2 0.1632 0.2500 0.0216
Tl3 0.3796 0.7500 0.4410
Tl4 0.6204 0.2500 0.5590
Tl5 0.8368 0.7500 0.9784
Tl6 0.8623 0.2500 0.3695
Hg1 0.4273 0.7500 0.7979
Hg2 0.5727 0.2500 0.2021

Summary:
density: 9.8 g cm⁻³
energy relative to the lowest polymorph listed for this composition: 77 meV/atom
energy of formation from the pure elements: -0.21 eV/atom

Fe2PbW: optimized geometry, PBE.

Unit cell a=4.6651 b=4.6651 c=4.8741 alpha=101.84 beta=101.84 gamma=38.50
Fractional positions:
Fe1 0.0000 0.0000 0.0000
Fe2 0.7324 0.7324 0.2090
Pb1 0.2413 0.2413 0.7260
W1 0.4710 0.4710 0.3869

Summary:
density: 13.0 g cm⁻³
energy of formation from the pure elements: 0.62 eV/atom

no.,total magnetization (μB/cell),uncorrected energy (eV for the cell shown)
1,0.00,-18.5
2,0.00,-42.2
3,0.00,-20.3
4,0.00,-29.5
5,0.00,-74.5
6,3.62,-31.1